1.
DFT (PBE-GGA) results for PtPbN after structural relaxation.

Summary:
Uncorrected formation energy   0.47 eV/atom
Total magnetic moment   0.00 μB/atom
Volume   137.7 Å³ per cell

Cell lengths 4.719, 4.719, 19.697 Å; angles 145.92, 145.92, 46.40 degrees
Element x y z (fractional)
N (0.894, 0.894, 0.663)
N (0.106, 0.106, 0.337)
Pb (0.942, 0.942, 0.142)
Pb (0.058, 0.058, 0.858)
Pt (0.399, 0.399, 0.666)
Pt (0.601, 0.601, 0.334)

=====

2.
DFT (PBE-GGA) results for CaAuCl2 after structural relaxation.

Summary:
Uncorrected formation energy   -1.05 eV/atom
Total magnetic moment   0.00 μB/atom
Volume   104.8 Å³ per cell

Cell lengths 5.506, 5.506, 4.850 Å; angles 64.89, 64.89, 102.98 degrees
Element x y z (fractional)
Ca (0.000, 0.500, 0.500)
Au (0.500, 0.000, 0.500)
Cl (0.000, 0.000, 0.000)
Cl (0.500, 0.500, 0.000)

=====

3.
DFT (PBE-GGA) results for Na3HfN after structural relaxation.

Summary:
Uncorrected formation energy   2.42 eV/atom
Total magnetic moment   0.61 μB/atom
Volume   224.8 Å³ per cell

Cell lengths 6.080, 6.080, 6.080 Å; angles 90.00, 90.00, 90.00 degrees
Each line ends with the local moment (μB).
Element x y z (fractional)
Na (0.000, 0.500, 0.000)  0.04
Na (0.000, 0.000, 0.500)  0.04
Na (0.500, 0.000, 0.000)  0.05
Hf (0.000, 0.000, 0.000)  1.55
N (0.500, 0.500, 0.500)  0.09

=====

4.
DFT (PBE-GGA) results for ZrTaTc2 after structural relaxation.

Summary:
Energy relative to the elements   -0.134 eV per atom
Total magnetic moment   0.00 μB/atom
Volume   68.4 Å³ per cell

Cell lengths 5.243, 5.243, 5.243 Å; angles 143.95, 125.04, 67.50 degrees
Element x y z (fractional)
Ta (0.250, 0.750, 0.500)
Tc (0.006, 0.006, 0.000)
Tc (0.494, 0.494, 0.000)
Zr (0.750, 0.250, 0.500)

=====

5.
DFT (PBE-GGA) results for CsNaMgS2 after structural relaxation.

Summary:
Uncorrected formation energy   0.55 eV/atom
Total magnetic moment   0.00 μB/atom
Volume   196.4 Å³ per cell

Cell lengths 6.024, 5.412, 6.024 Å; angles 90.00, 90.00, 90.00 degrees
Element x y z (fractional)
Cs (0.000, 0.000, 0.000)
Na (0.000, 0.500, 0.000)
S (0.000, 0.000, 0.500)
S (0.500, 0.000, 0.000)
Mg (0.500, 0.500, 0.500)

=====

6.
DFT (PBE-GGA) results for Li8TeO6 after structural relaxation.

Summary:
Uncorrected formation energy   -1.69 eV/atom
Total magnetic moment   0.00 μB/atom
Volume   144.5 Å³ per cell

Cell lengths 6.217, 6.217, 6.217 Å; angles 53.60, 53.60, 53.60 degrees
Element x y z (fractional)
Li (0.490, 0.771, 0.103)
Li (0.229, 0.897, 0.510)
Li (0.897, 0.510, 0.229)
Li (0.653, 0.653, 0.653)
Li (0.347, 0.347, 0.347)
Li (0.103, 0.490, 0.771)
Li (0.771, 0.103, 0.490)
Li (0.510, 0.229, 0.897)
Te (0.000, 0.000, 0.000)
O (0.605, 0.904, 0.240)
O (0.096, 0.760, 0.395)
O (0.760, 0.395, 0.096)
O (0.240, 0.605, 0.904)
O (0.904, 0.240, 0.605)
O (0.395, 0.096, 0.760)

=====

7.
DFT (PBE-GGA) results for Cs2NaAgH after structural relaxation.

Summary:
Energy   -8.7 eV for the cell shown
Total magnetic moment   0.00 μB/atom
Volume   197.0 Å³ per cell

Cell lengths 6.984, 6.984, 4.039 Å; angles 90.00, 90.00, 90.00 degrees
Element x y z (fractional)
Cs (0.000, 0.500, 0.000)
Cs (0.500, 0.000, 0.000)
Na (0.500, 0.500, 0.500)
Ag (0.000, 0.000, 0.500)
H (0.000, 0.000, 0.000)

=====

8.
DFT (PBE-GGA) results for CeTmCuRh after structural relaxation.

Summary:
Energy relative to the elements   -0.481 eV per atom
Total magnetic moment   0.09 μB/atom
Volume   82.9 Å³ per cell

Cell lengths 4.895, 4.895, 4.895 Å; angles 60.00, 60.00, 60.00 degrees
Each line ends with the local moment (μB).
Element x y z (fractional)
Tm (0.500, 0.500, 0.500)  0.01
Rh (0.750, 0.750, 0.750)  -0.03
Cu (0.250, 0.250, 0.250)  0.00
Ce (0.000, 0.000, 0.000)  0.34

=====

9.
DFT (PBE-GGA) results for Tm4Tl2C after structural relaxation.

Summary:
Energy relative to the elements   -0.350 eV per atom
Total magnetic moment   0.00 μB/atom
Volume   176.9 Å³ per cell

Cell lengths 4.851, 4.851, 8.262 Å; angles 72.93, 72.93, 90.00 degrees
Element x y z (fractional)
Tl (0.634, 0.634, 0.733)
Tl (0.366, 0.366, 0.267)
Tm (0.838, 0.838, 0.323)
Tm (0.162, 0.162, 0.677)
Tm (0.000, 0.500, 0.000)
Tm (0.500, 0.000, 0.000)
C (0.000, 0.000, 0.000)

=====

10.
DFT (PBE-GGA) results for MnCuS2 after structural relaxation.

Summary:
Uncorrected formation energy   -0.39 eV/atom
Total magnetic moment   0.43 μB/atom
Volume   129.7 Å³ per cell

Cell lengths 6.979, 3.207, 5.836 Å; angles 89.96, 83.15, 90.00 degrees
Each line ends with the local moment (μB).
Element x y z (fractional)
S (0.023, 0.343, 0.111)  -0.03
S (0.713, 0.843, 0.631)  -0.02
S (0.479, 0.342, 0.113)  -0.07
S (0.273, 0.843, 0.634)  -0.06
Mn (0.271, 0.842, 0.025)  1.96
Mn (0.474, 0.343, 0.735)  1.50
Cu (0.729, 0.344, 0.333)  0.01
Cu (0.961, 0.845, 0.830)  -0.02

=====

11.
DFT (PBE-GGA) results for Ce3Ni5C2 after structural relaxation.

Summary:
Energy relative to the elements   -0.146 eV per atom
Total magnetic moment   0.00 μB/atom
Volume   292.0 Å³ per cell

Cell lengths 6.779, 7.607, 7.607 Å; angles 60.31, 63.54, 63.54 degrees
Element x y z (fractional)
Ce (0.250, 0.000, 0.000)
Ce (0.750, 0.000, 0.000)
Ce (0.363, 0.419, 0.855)
Ce (0.637, 0.581, 0.145)
Ce (0.863, 0.855, 0.419)
Ce (0.137, 0.145, 0.581)
Ni (0.250, 0.500, 0.500)
Ni (0.750, 0.500, 0.500)
Ni (0.502, 0.748, 0.748)
Ni (0.998, 0.252, 0.252)
Ni (0.498, 0.252, 0.252)
Ni (0.002, 0.748, 0.748)
Ni (0.114, 0.591, 0.182)
Ni (0.886, 0.409, 0.818)
Ni (0.614, 0.182, 0.591)
Ni (0.386, 0.818, 0.409)
C (0.168, 0.779, 0.885)
C (0.832, 0.221, 0.115)
C (0.668, 0.885, 0.779)
C (0.332, 0.115, 0.221)

=====

12.
DFT (PBE-GGA) results for La2SnHgPt after structural relaxation.

Summary:
Energy relative to the elements   -0.809 eV per atom
Total magnetic moment   0.00 μB/atom
Volume   277.2 Å³ per cell

Cell lengths 4.674, 7.937, 7.918 Å; angles 109.35, 90.00, 90.00 degrees
Element x y z (fractional)
La (0.750, 0.882, 0.666)
La (0.750, 0.707, 0.043)
La (0.250, 0.118, 0.334)
La (0.250, 0.293, 0.957)
Sn (0.250, 0.557, 0.682)
Sn (0.750, 0.443, 0.318)
Hg (0.250, 0.696, 0.345)
Hg (0.750, 0.304, 0.655)
Pt (0.250, 0.898, 0.926)
Pt (0.750, 0.102, 0.074)